Material: La2Ta2O5
Method: DFT, PBE
State: optimized geometry

Cell lengths 7.2155, 4.0851, 4.0851 Å; angles 90.00, 90.00, 90.00 degrees
Positions (direct):
1 O 0.2452 0.0000 0.5000
2 O 0.2452 0.5000 0.0000
3 O 0.7548 0.0000 0.5000
4 O 0.7548 0.5000 0.0000
5 O 0.5000 0.5000 0.5000
6 Ta 0.2001 0.5000 0.5000
7 Ta 0.7999 0.5000 0.5000
8 La 0.0000 0.0000 0.0000
9 La 0.5000 0.0000 0.0000

Calculated values
The energy is -81.310 eV per cell. Its total magnetization is 0.00 μB/f.u. As for the crystal system: tetragonal.

Material: LaTaO4
Method: DFT, PBE
State: optimized geometry

Cell lengths 7.9622, 10.9966, 7.5293 Å; angles 90.00, 90.00, 90.00 degrees
Positions (direct):
1 Ta 0.8760 0.7492 0.0009
2 Ta 0.6240 0.2492 0.0009
3 Ta 0.6240 0.2508 0.5009
4 Ta 0.3760 0.7508 0.9991
5 Ta 0.1240 0.2508 0.9991
6 Ta 0.8760 0.7508 0.5009
7 Ta 0.1240 0.2492 0.4991
8 Ta 0.3760 0.7492 0.4991
9 O 0.3765 0.2518 0.0012
10 O 0.6271 0.0772 0.5715
11 O 0.8700 0.6915 0.2509
12 O 0.8765 0.2482 0.9988
13 O 0.3757 0.5773 0.5704
14 O 0.8729 0.5772 0.5715
15 O 0.8757 0.9227 0.4296
16 O 0.8757 0.5773 0.9296
17 O 0.3729 0.5772 0.9285
18 O 0.6235 0.7482 0.9988
19 O 0.6300 0.1915 0.2509
20 O 0.3729 0.9228 0.4285
21 O 0.3757 0.9227 0.0704
22 O 0.1271 0.4228 0.4285
23 O 0.1271 0.0772 0.9285
24 O 0.3765 0.2482 0.5012
25 O 0.1235 0.7518 0.0012
26 O 0.6271 0.4228 0.0715
27 O 0.1243 0.0773 0.5704
28 O 0.8700 0.8085 0.7509
29 O 0.3700 0.6915 0.2491
30 O 0.6235 0.7518 0.4988
31 O 0.8765 0.2518 0.4988
32 O 0.3700 0.8085 0.7491
33 O 0.6243 0.0773 0.9296
34 O 0.6243 0.4227 0.4296
35 O 0.1300 0.3085 0.7491
36 O 0.8729 0.9228 0.0715
37 O 0.1300 0.1915 0.2491
38 O 0.1243 0.4227 0.0704
39 O 0.1235 0.7482 0.5012
40 O 0.6300 0.3085 0.7509
41 La 0.1252 0.5278 0.7457
42 La 0.6252 0.9722 0.2543
43 La 0.8748 0.4722 0.2543
44 La 0.1252 0.9722 0.2457
45 La 0.3748 0.0278 0.7457
46 La 0.8748 0.0278 0.7543
47 La 0.6252 0.5278 0.7543
48 La 0.3748 0.4722 0.2457

Calculated values
The energy is -447.678 eV per cell. Its total magnetization is 0.00 μB/f.u. As for the crystal system: orthorhombic.

Material: La2YTaO6
Method: DFT, PBE
State: optimized geometry

Cell lengths 5.8885, 5.8885, 5.8885 Å; angles 121.76, 121.76, 86.97 degrees
Site moments in Bohr magnetons follow the coordinates.
Positions (direct):
1 O 0.6583 0.1851 0.8434  0.00
2 O 0.3417 0.8149 0.1566  0.00
3 O 0.1851 0.3417 0.5268  0.00
4 O 0.8149 0.6583 0.4732  0.00
5 O 0.2606 0.2606 0.0000  0.00
6 O 0.7394 0.7394 0.0000  0.00
7 Y 0.0000 0.0000 0.0000  0.01
8 Ta 0.5000 0.5000 0.0000  0.06
9 La 0.7500 0.2500 0.5000  0.03
10 La 0.2500 0.7500 0.5000  0.03

Calculated values
The energy is -88.034 eV per cell. Its total magnetization is 0.21 μB/f.u. As for the crystal system: tetragonal.